(1)
Here is a geometry-optimized AlCr2Sn structure from the Alexandria database. Energies are from PBE-GGA.

As for the mass density: 5.548 g/cm3. The value obtained for the total energy is -24.34 eV per formula unit. Its magnetic moment is 12.60 μB per cell. The calculation puts the formation energy at 0.66 eV per atom.

Structure (POSCAR):
```
AlCr2Sn
1.0
-3.591 3.591 2.897
3.591 -3.591 2.897
3.591 3.591 -2.897
Al Cr Sn
2 4 2
Cartesian
0.000 0.000 0.000
0.000 3.591 1.449
5.387 1.660 -0.724
1.660 1.796 0.724
-1.796 1.931 2.173
1.931 1.796 3.622
3.591 0.000 1.449
0.000 0.000 2.897
```

=====

(2)
Here is a geometry-optimized SrSbRh structure from the Alexandria database. Energies are from PBE-GGA.

As for the mass density: 6.990 g/cm3. The value obtained for the total energy is -14.68 eV per formula unit. Its magnetic moment is 0.00 μB per cell.

Structure (POSCAR):
```
SrSbRh
1.0
-1.806 1.806 5.689
1.806 -1.806 5.689
1.806 1.806 -5.689
Sr Sb Rh
1 1 1
Cartesian
0.000 0.000 0.000
0.000 0.000 8.075
0.000 0.000 3.364
```

=====

Which of these has the highest magnetic moment?
AlCr2Sn